# Er5As4P (PBE, optimized geometry)
# Crystal system ... tetragonal
# SG ... I4/m
data_Er5As4P
_chemical_formula_sum 'Er5 As4 P1'
_cell_length_a 5.744
_cell_length_b 7.033
_cell_length_c 7.033
_cell_angle_alpha 80.40
_cell_angle_beta 65.90
_cell_angle_gamma 65.90
_space_group_name_H-M_alt 'P 1'
_space_group_IT_number 1
loop_
_space_group_symop_operation_xyz
'x,y,z'
loop_
_atom_site_label
_atom_site_fract_x
_atom_site_fract_y
_atom_site_fract_z
Er1 0.902 0.394 0.803
Er2 0.296 0.803 0.606
Er3 0.706 0.197 0.394
Er4 0.100 0.606 0.197
Er5 0.501 0.000 0.000
As1 0.402 0.399 0.799
As2 0.801 0.799 0.601
As3 0.201 0.201 0.399
As4 0.600 0.601 0.201
P1 0.001 0.000 0.000



# Er5AsP4 (PBE, optimized geometry)
# Crystal system ... orthorhombic
# SG ... Immm
data_Er5AsP4
_chemical_formula_sum 'Er5 As1 P4'
_cell_length_a 3.990
_cell_length_b 5.643
_cell_length_c 10.561
_cell_angle_alpha 105.50
_cell_angle_beta 100.89
_cell_angle_gamma 90.00
_space_group_name_H-M_alt 'P 1'
_space_group_IT_number 1
loop_
_space_group_symop_operation_xyz
'x,y,z'
loop_
_atom_site_label
_atom_site_fract_x
_atom_site_fract_y
_atom_site_fract_z
Er1 0.603 0.103 0.206
Er2 0.800 0.300 0.601
Er3 0.200 0.700 0.399
Er4 0.000 0.500 0.000
Er5 0.397 0.897 0.794
As1 0.000 0.000 0.000
P1 0.400 0.400 0.799
P2 0.799 0.799 0.598
P3 0.201 0.201 0.402
P4 0.600 0.600 0.201



# Er2AsP (PBE, optimized geometry)
# Crystal system ... trigonal
# SG ... R-3m
data_Er2AsP
_chemical_formula_sum 'Er2 As1 P1'
_cell_length_a 4.025
_cell_length_b 4.025
_cell_length_c 6.975
_cell_angle_alpha 89.98
_cell_angle_beta 106.78
_cell_angle_gamma 120.01
_space_group_name_H-M_alt 'P 1'
_space_group_IT_number 1
loop_
_space_group_symop_operation_xyz
'x,y,z'
loop_
_atom_site_label
_atom_site_fract_x
_atom_site_fract_y
_atom_site_fract_z
Er1 0.505 0.252 0.757
Er2 0.495 0.748 0.243
As1 0.000 0.500 0.500
P1 0.000 0.000 0.000



# ErPaAsP (PBE, optimized geometry)
# Crystal system ... trigonal
# SG ... R3m
data_ErPaAsP
_chemical_formula_sum 'Er1 Pa1 As1 P1'
_cell_length_a 3.909
_cell_length_b 3.909
_cell_length_c 7.359
_cell_angle_alpha 90.00
_cell_angle_beta 105.41
_cell_angle_gamma 120.00
_space_group_name_H-M_alt 'P 1'
_space_group_IT_number 1
loop_
_space_group_symop_operation_xyz
'x,y,z'
loop_
_atom_site_label
_atom_site_fract_x
_atom_site_fract_y
_atom_site_fract_z
Er1 0.316 0.556 0.888
Pa1 0.958 0.377 0.350
As1 0.471 0.133 0.619
P1 0.133 0.964 0.112



Number 1: D(E_F) 0.72 states/eV/f.u., E_form -1.5359 eV/atom. Number 2: D(E_F) 1.60 states/eV/f.u., E_form -1.5908 eV/atom. Number 3: D(E_F) 0.52 states/eV/f.u., E_form -1.5630 eV/atom. Number 4: D(E_F) 2.30 states/eV/f.u., E_form -1.2358 eV/atom.